## SrMgSe2Br (PBE-GGA)

Data for an optimized crystal structure of SrMgSe2Br.

Cell and atoms, written as POSCAR:
```
SrMgSe2Br
1.0
5.084 0.000 0.000
0.000 5.084 0.000
0.000 0.000 5.405
Sr Mg Se Br
1 1 2 1
direct
0.500 0.500 0.500 Sr
0.000 0.000 0.000 Mg
0.000 0.500 0.000 Se
0.500 0.000 0.000 Se
0.000 0.000 0.500 Br
```

Properties
density of states at the Fermi level = 2.6 states/eV/f.u.
space-group type = P4/mmm, No. 123

***

## MgTaSeBr2 (PBE-GGA)

Data for an optimized crystal structure of MgTaSeBr2.

Cell and atoms, written as POSCAR:
```
MgTaSeBr2
1.0
5.198 0.000 0.000
0.000 5.198 0.000
0.000 0.000 5.062
Mg Se Br Ta
1 1 2 1
direct
0.500 0.500 0.500 Mg
0.000 0.000 0.500 Se
0.000 0.500 0.000 Br
0.500 0.000 0.000 Br
0.000 0.000 0.000 Ta
```

Properties
density of states at the Fermi level = 4.6 states/eV/f.u.
space-group type = P4/mmm, No. 123

***

## MgTaSeBr2 (PBE-GGA)

Data for an optimized crystal structure of MgTaSeBr2.

Cell and atoms, written as POSCAR:
```
MgTaSeBr2
1.0
-3.459 2.833 2.059
1.565 -1.340 4.470
3.394 4.112 0.044
Mg Se Br Ta
1 1 2 1
direct
0.000 0.000 0.000 Mg
0.000 0.000 0.500 Se
0.000 0.500 0.000 Br
0.500 0.000 0.000 Br
0.500 0.500 0.500 Ta
```

Properties
density of states at the Fermi level = 4.6 states/eV/f.u.
space-group type = P4/mmm, No. 123

***

## MgTcSeBr2 (PBE-GGA)

Data for an optimized crystal structure of MgTcSeBr2.

Cell and atoms, written as POSCAR:
```
MgTcSeBr2
1.0
-4.748 -0.403 -2.171
1.978 -3.069 -3.755
-0.893 -3.838 2.666
Mg Se Tc Br
1 1 1 2
direct
0.500 0.500 0.500 Mg
0.000 0.000 0.500 Se
0.000 0.000 0.000 Tc
0.000 0.500 0.000 Br
0.500 0.000 0.000 Br
```

Properties
density of states at the Fermi level = 4.1 states/eV/f.u.
space-group type = P4/mmm, No. 123

***

## MgTcSe2Br (PBE-GGA)

Data for an optimized crystal structure of MgTcSe2Br.

Cell and atoms, written as POSCAR:
```
MgTcSe2Br
1.0
4.841 0.000 0.000
0.000 4.841 0.000
0.000 0.000 5.345
Mg Se Tc Br
1 2 1 1
direct
0.500 0.500 0.500 Mg
0.000 0.500 0.000 Se
0.500 0.000 0.000 Se
0.000 0.000 0.000 Tc
0.000 0.000 0.500 Br
```

Properties
density of states at the Fermi level = 4.1 states/eV/f.u.
space-group type = P4/mmm, No. 123

***

## MgTeSe2Br (PBE-GGA)

Data for an optimized crystal structure of MgTeSe2Br.

Cell and atoms, written as POSCAR:
```
MgTeSe2Br
1.0
5.199 0.000 0.000
0.000 5.199 0.000
0.000 0.000 4.886
Mg Te Se Br
1 1 2 1
direct
0.000 0.000 0.000 Mg
0.500 0.500 0.500 Te
0.000 0.500 0.000 Se
0.500 0.000 0.000 Se
0.000 0.000 0.500 Br
```

Properties
density of states at the Fermi level = 2.8 states/eV/f.u.
space-group type = P4/mmm, No. 123

***

## MgTiSe2Br (PBE-GGA)

Data for an optimized crystal structure of MgTiSe2Br.

Cell and atoms, written as POSCAR:
```
MgTiSe2Br
1.0
5.000 0.000 0.000
0.000 5.000 0.000
0.000 0.000 5.076
Mg Se Br Ti
1 2 1 1
direct
0.500 0.500 0.500 Mg
0.000 0.500 0.000 Se
0.500 0.000 0.000 Se
0.000 0.000 0.500 Br
0.000 0.000 0.000 Ti
```

Properties
density of states at the Fermi level = 2.9 states/eV/f.u.
space-group type = P4/mmm, No. 123

***

## MgTlSeBr2 (PBE-GGA)

Data for an optimized crystal structure of MgTlSeBr2.

Cell and atoms, written as POSCAR:
```
MgTlSeBr2
1.0
-0.762 -0.982 5.216
5.305 -0.316 0.715
0.173 5.150 0.995
Mg Tl Se Br
1 1 1 2
direct
0.000 0.000 0.000 Mg
0.500 0.500 0.500 Tl
0.000 0.000 0.500 Se
0.000 0.500 0.000 Br
0.500 0.000 0.000 Br
```

Properties
density of states at the Fermi level = 3.4 states/eV/f.u.
space-group type = P4/mmm, No. 123

***

| no. | E_tot (eV per atom) | offset from the most stable computed form (eV/atom) |
| --- | --- | --- |
| 1 | -3.578 | 0.000 |
| 2 | -4.205 | 0.000 |
| 3 | -3.700 | 0.505 |
| 4 | -3.721 | 0.000 |
| 5 | -4.070 | 0.000 |
| 6 | -2.731 | 0.000 |
| 7 | -4.208 | 0.000 |
| 8 | -2.919 | 0.000 |